Entry from Alexandria via LeMat-Bulk: a relaxed structure of Cr3RhBr (GGA-PBE).

uncorrected energy: -6.048 eV/atom
energy relative to the lowest polymorph listed for this composition: 485 meV per atom
formation energy from raw total energies: 1.531 eV/atom

Cell: 4.2983 4.2983 4.2983 Å, 90.00 90.00 90.00°
Closest atoms and distances in Å follow each position.
Space group Pm-3m (No. 221)
Symmetry-distinct sites (fractional):
Cr 0.0000 0.0000 0.5000 (multiplicity 3)  2 Br 2.15
Rh 0.5000 0.5000 0.5000 (multiplicity 1)  12 Cr 3.04
Br 0.0000 0.0000 0.0000 (multiplicity 1)  6 Cr 2.15

Entry from Alexandria via LeMat-Bulk: a relaxed structure of CrRhAu2 (GGA-PBE).

uncorrected energy: -5.566 eV/atom
ΔH_f (0 K): 0.3168 eV per atom

Cell: 2.9030 2.9030 26.8176 Å, 90.00 90.00 120.00°
Closest atoms and distances in Å follow each position.
Space group R-3m (No. 166, hexagonal axes)
Symmetry-distinct sites (fractional):
Cr 0.0000 0.0000 0.0000 (multiplicity 3)  6 Au 2.74, 6 Cr 2.90
Rh 0.0000 0.0000 0.5000 (multiplicity 3)  6 Au 2.84, 6 Rh 2.90
Au 0.0000 0.0000 0.2524 (multiplicity 6)  3 Cr 2.74, 3 Rh 2.84, 6 Au 2.90

Entry from Alexandria via LeMat-Bulk: a relaxed structure of K2Te2P (GGA-PBE).

uncorrected energy: -2.898 eV/atom
energy relative to the lowest polymorph listed for this composition: 360 meV per atom
formation energy from raw total energies: -0.121 eV/atom

Cell: 4.3679 4.3679 19.2832 Å, 90.00 90.00 90.00°
Closest atoms and distances in Å follow each position.
Space group I4/mmm (No. 139)
Symmetry-distinct sites (fractional):
K 0.0000 0.0000 0.0921 (multiplicity 4)  1 K 3.55, 4 P 3.56, 4 Te 3.75
Te 0.0000 0.5000 0.2500 (multiplicity 4)  4 Te 3.09
P 0.0000 0.0000 0.5000 (multiplicity 2)  8 K 3.56

Entry from Alexandria via LeMat-Bulk: a relaxed structure of Ac2Pb3Au5 (GGA-PBE).

uncorrected energy: -3.998 eV/atom
ΔH_f (0 K): -0.4251 eV per atom

Cell: 11.6912 13.3362 6.8935 Å, 90.00 90.00 90.00°
Closest atoms and distances in Å follow each position.
Space group Ibam (No. 72)
Symmetry-distinct sites (fractional):
Ac 0.2288 0.1277 0.0000 (multiplicity 8)  10 Au 3.48-3.85, 4 Pb 3.64-3.75
Pb 0.0000 0.5000 0.2500 (multiplicity 4)  6 Au 2.94-3.04
Pb 0.1168 0.1355 0.5000 (multiplicity 8)  5 Au 2.74-2.86
Au 0.0000 0.0000 0.2500 (multiplicity 4)  4 Pb 2.85
Au 0.0000 0.2721 0.2500 (multiplicity 8)  2 Au 2.84, 3 Pb 2.86-3.04
Au 0.1498 0.3791 0.0000 (multiplicity 8)  3 Pb 2.74-2.94, 2 Au 2.84

Entry from Alexandria via LeMat-Bulk: a relaxed structure of PmDyAs (GGA-PBE).

uncorrected energy: -5.356 eV/atom
energy relative to the lowest polymorph listed for this composition: 161 meV per atom
ΔH_f (0 K): -0.6890 eV per atom

Cell: 3.8022 22.7006 3.7780 Å, 90.00 90.00 90.00°
Closest atoms and distances in Å follow each position.
Space group Cmcm (No. 63)
Symmetry-distinct sites (fractional):
Pm 0.0000 0.0677 0.2500 (multiplicity 4)  1 Dy 3.12, 4 As 3.24
Dy 0.0000 0.2053 0.2500 (multiplicity 4)  5 As 2.98-3.34, 1 Pm 3.12
As 0.0000 0.3523 0.2500 (multiplicity 4)  5 Dy 2.98-3.34, 4 Pm 3.24

Entry from Alexandria via LeMat-Bulk: a relaxed structure of Ga2RePd2 (GGA-PBE).

uncorrected energy: -5.886 eV/atom
ΔH_f (0 K): -0.1086 eV per atom

Cell: 7.3253 7.3253 2.7905 Å, 90.00 90.00 90.00°
Closest atoms and distances in Å follow each position.
Space group P4/mbm (No. 127)
Symmetry-distinct sites (fractional):
Ga 0.1516 0.3484 0.0000 (multiplicity 4)  6 Pd 2.50-2.60, 2 Re 2.78, 2 Ga 2.79
Re 0.0000 0.0000 0.0000 (multiplicity 2)  4 Ga 2.78, 2 Re 2.79
Pd 0.1478 0.6478 0.5000 (multiplicity 4)  6 Ga 2.50-2.60, 2 Pd 2.79

Entry from Alexandria via LeMat-Bulk: a relaxed structure of Ba2CuAg2 (GGA-PBE).

uncorrected energy: -2.717 eV/atom
energy relative to the lowest polymorph listed for this composition: 49 meV per atom
ΔH_f (0 K): 0.0119 eV per atom

Cell: 6.4494 6.4494 8.0611 Å, 90.00 90.00 90.00°
Closest atoms and distances in Å follow each position.
Space group I4/mmm (No. 139)
Symmetry-distinct sites (fractional):
Ba 0.0000 0.5000 0.2500 (multiplicity 4)  4 Ag 3.29
Cu 0.0000 0.0000 0.0000 (multiplicity 2)  2 Ag 2.66
Ag 0.0000 0.0000 0.3304 (multiplicity 4)  1 Cu 2.66, 1 Ag 2.73

Entry from Alexandria via LeMat-Bulk: a relaxed structure of Cs8PtAu3 (GGA-PBE).

uncorrected energy: -2.064 eV/atom
ΔH_f (0 K): -0.1727 eV per atom

Cell: 10.4117 14.9075 10.3480 Å, 90.00 90.00 90.00°
Closest atoms and distances in Å follow each position.
Space group C222 (No. 21)
Symmetry-distinct sites (fractional):
Cs 0.0000 0.2251 0.0000 (multiplicity 4)  1 Pt 3.36, 2 Au 3.70
Cs 0.0000 0.2450 0.5000 (multiplicity 4)  3 Au 3.65-3.66
Cs 0.2273 0.0077 0.2337 (multiplicity 8)  1 Pt 3.39, 2 Au 3.62-3.63
Pt 0.0000 0.0000 0.0000 (multiplicity 2)  6 Cs 3.36-3.39
Au 0.0000 0.0000 0.5000 (multiplicity 2)  6 Cs 3.63-3.65
Au 0.2500 0.2500 0.2514 (multiplicity 4)  6 Cs 3.62-3.70